# 1
# GGA-PBE Rb2HfAg2Se4, relaxed
# M_tot = 0.02 μB per cell
# E_tot = -4.487 eV per atom
data_Rb2HfAg2Se4
_cell_length_a 6.2839
_cell_length_b 14.0507
_cell_length_c 6.2671
_cell_angle_alpha 90.00
_cell_angle_beta 90.00
_cell_angle_gamma 90.00
_symmetry_space_group_name_H-M 'C 2 2 2'
_symmetry_Int_Tables_number 21
_symmetry_space_group_name_Hall 'C 2 2'
loop_
_atom_site_label
_atom_site_fract_x
_atom_site_fract_y
_atom_site_fract_z
_atom_site_occupancy
Rb1 0.2500 0.2500 0.2405 1
Hf1 0.0000 0.0000 0.5000 1
Ag1 0.0000 0.0000 0.0000 1
Ag2 0.0000 0.5000 0.5000 1
Se1 0.2294 0.1087 0.7292 1

# 2
# GGA-PBE RbHfAgSe3, relaxed
# M_tot = 0.02 μB per cell
# E_tot = -5.070 eV per atom
data_RbHfAgSe3
_cell_length_a 10.8371
_cell_length_b 3.9464
_cell_length_c 15.3672
_cell_angle_alpha 90.00
_cell_angle_beta 90.00
_cell_angle_gamma 90.00
_symmetry_space_group_name_H-M 'P n m a'
_symmetry_Int_Tables_number 62
_symmetry_space_group_name_Hall '-P 2ac 2n'
loop_
_atom_site_label
_atom_site_fract_x
_atom_site_fract_y
_atom_site_fract_z
_atom_site_occupancy
Rb1 0.2500 0.2500 0.0004 1
Hf1 0.0254 0.2500 0.2582 1
Ag1 0.2483 0.7500 0.2034 1
Se1 0.0292 0.7500 0.1350 1
Se2 0.0383 0.2500 0.6281 1
Se3 0.2455 0.2500 0.3189 1

# 3
# GGA-PBE Rb2HfAg2Te4, relaxed
# M_tot = 0.02 μB per cell
# E_tot = -4.108 eV per atom
data_Rb2HfAg2Te4
_cell_length_a 6.5547
_cell_length_b 14.9530
_cell_length_c 6.5422
_cell_angle_alpha 90.00
_cell_angle_beta 90.00
_cell_angle_gamma 90.00
_symmetry_space_group_name_H-M 'C 2 2 2'
_symmetry_Int_Tables_number 21
_symmetry_space_group_name_Hall 'C 2 2'
loop_
_atom_site_label
_atom_site_fract_x
_atom_site_fract_y
_atom_site_fract_z
_atom_site_occupancy
Rb1 0.2500 0.2500 0.2441 1
Hf1 0.0000 0.0000 0.5000 1
Ag1 0.0000 0.0000 0.0000 1
Ag2 0.0000 0.5000 0.5000 1
Te1 0.2395 0.1095 0.7390 1

# 4
# GGA-PBE Hf2ReAg, relaxed
# M_tot = 0.07 μB per cell
# E_tot = -8.515 eV per atom
data_Hf2ReAg
_cell_length_a 6.6200
_cell_length_b 6.6200
_cell_length_c 6.6200
_cell_angle_alpha 90.00
_cell_angle_beta 90.00
_cell_angle_gamma 90.00
_symmetry_space_group_name_H-M 'F -4 3 m'
_symmetry_Int_Tables_number 216
_symmetry_space_group_name_Hall 'F -4 2 3'
loop_
_atom_site_label
_atom_site_fract_x
_atom_site_fract_y
_atom_site_fract_z
_atom_site_occupancy
Hf1 0.0000 0.0000 0.0000 1
Hf2 0.2500 0.2500 0.2500 1
Re1 0.0000 0.0000 0.5000 1
Ag1 0.2500 0.2500 0.7500 1

# 5
# GGA-PBE HfReAg, relaxed
# M_tot = 1.36 μB per cell
# E_tot = -7.323 eV per atom
data_HfReAg
_cell_length_a 6.3207
_cell_length_b 6.3207
_cell_length_c 6.3207
_cell_angle_alpha 90.00
_cell_angle_beta 90.00
_cell_angle_gamma 90.00
_symmetry_space_group_name_H-M 'F -4 3 m'
_symmetry_Int_Tables_number 216
_symmetry_space_group_name_Hall 'F -4 2 3'
loop_
_atom_site_label
_atom_site_fract_x
_atom_site_fract_y
_atom_site_fract_z
_atom_site_occupancy
Hf1 0.0000 0.0000 0.0000 1
Re1 0.2500 0.2500 0.2500 1
Ag1 0.2500 0.2500 0.7500 1

# 6
# GGA-PBE HfReAg2, relaxed
# M_tot = 3.24 μB per cell
# E_tot = -6.562 eV per atom
data_HfReAg2
_cell_length_a 6.5713
_cell_length_b 6.5713
_cell_length_c 6.5713
_cell_angle_alpha 90.00
_cell_angle_beta 90.00
_cell_angle_gamma 90.00
_symmetry_space_group_name_H-M 'F -4 3 m'
_symmetry_Int_Tables_number 216
_symmetry_space_group_name_Hall 'F -4 2 3'
loop_
_atom_site_label
_atom_site_fract_x
_atom_site_fract_y
_atom_site_fract_z
_atom_site_occupancy
Hf1 0.0000 0.0000 0.0000 1
Re1 0.2500 0.2500 0.7500 1
Ag1 0.0000 0.0000 0.5000 1
Ag2 0.2500 0.2500 0.2500 1

# 7
# GGA-PBE HfRe2Ag, relaxed
# M_tot = 0.01 μB per cell
# E_tot = -9.138 eV per atom
data_HfRe2Ag
_cell_length_a 6.4428
_cell_length_b 6.4428
_cell_length_c 6.4428
_cell_angle_alpha 90.00
_cell_angle_beta 90.00
_cell_angle_gamma 90.00
_symmetry_space_group_name_H-M 'F -4 3 m'
_symmetry_Int_Tables_number 216
_symmetry_space_group_name_Hall 'F -4 2 3'
loop_
_atom_site_label
_atom_site_fract_x
_atom_site_fract_y
_atom_site_fract_z
_atom_site_occupancy
Hf1 0.0000 0.0000 0.0000 1
Re1 0.0000 0.0000 0.5000 1
Re2 0.2500 0.2500 0.7500 1
Ag1 0.2500 0.2500 0.2500 1

# 8
# GGA-PBE HfReAg, relaxed
# M_tot = 6.29 μB per cell
# E_tot = -7.462 eV per atom
data_HfReAg
_cell_length_a 6.3268
_cell_length_b 6.3268
_cell_length_c 6.3268
_cell_angle_alpha 90.00
_cell_angle_beta 90.00
_cell_angle_gamma 90.00
_symmetry_space_group_name_H-M 'F -4 3 m'
_symmetry_Int_Tables_number 216
_symmetry_space_group_name_Hall 'F -4 2 3'
loop_
_atom_site_label
_atom_site_fract_x
_atom_site_fract_y
_atom_site_fract_z
_atom_site_occupancy
Hf1 0.0000 0.0000 0.0000 1
Re1 0.2500 0.2500 0.7500 1
Ag1 0.0000 0.0000 0.5000 1

# 9
# GGA-PBE HfTlAgTeSeS, relaxed
# M_tot = 0.01 μB per cell
# E_tot = -5.089 eV per atom
data_HfTlAgTeSeS
_cell_length_a 8.3493
_cell_length_b 3.9326
_cell_length_c 10.4635
_cell_angle_alpha 90.00
_cell_angle_beta 110.06
_cell_angle_gamma 90.00
_symmetry_space_group_name_H-M 'P 1 21/m 1'
_symmetry_Int_Tables_number 11
_symmetry_space_group_name_Hall '-P 2yb'
loop_
_atom_site_label
_atom_site_fract_x
_atom_site_fract_y
_atom_site_fract_z
_atom_site_occupancy
Hf1 0.1871 0.2500 0.1545 1
Tl1 0.2572 0.7500 0.7249 1
Ag1 0.4308 0.7500 0.3942 1
Te1 0.2058 0.2500 0.4373 1
Se1 0.0591 0.2500 0.8786 1
S1 0.3774 0.7500 0.1417 1

# 10
# GGA-PBE HfTlAgTeSeS, relaxed
# M_tot = 0.01 μB per cell
# E_tot = -5.024 eV per atom
data_HfTlAgTeSeS
_cell_length_a 8.2386
_cell_length_b 4.0152
_cell_length_c 10.4796
_cell_angle_alpha 90.00
_cell_angle_beta 109.08
_cell_angle_gamma 90.00
_symmetry_space_group_name_H-M 'P 1 21/m 1'
_symmetry_Int_Tables_number 11
_symmetry_space_group_name_Hall '-P 2yb'
loop_
_atom_site_label
_atom_site_fract_x
_atom_site_fract_y
_atom_site_fract_z
_atom_site_occupancy
Hf1 0.2129 0.2500 0.1775 1
Tl1 0.2317 0.7500 0.6826 1
Ag1 0.4379 0.7500 0.3959 1
Te1 0.0657 0.2500 0.8704 1
Se1 0.4110 0.7500 0.1394 1
S1 0.2430 0.2500 0.4195 1

# 11
# GGA-PBE HfTlAgSeS2, relaxed
# M_tot = 0.01 μB per cell
# E_tot = -5.335 eV per atom
data_HfTlAgSeS2
_cell_length_a 8.0804
_cell_length_b 3.8598
_cell_length_c 10.1004
_cell_angle_alpha 90.00
_cell_angle_beta 109.18
_cell_angle_gamma 90.00
_symmetry_space_group_name_H-M 'P 1 21/m 1'
_symmetry_Int_Tables_number 11
_symmetry_space_group_name_Hall '-P 2yb'
loop_
_atom_site_label
_atom_site_fract_x
_atom_site_fract_y
_atom_site_fract_z
_atom_site_occupancy
Hf1 0.2005 0.2500 0.1637 1
Tl1 0.2300 0.7500 0.6975 1
Ag1 0.4424 0.7500 0.3906 1
Se1 0.0551 0.2500 0.8721 1
S1 0.2346 0.2500 0.4180 1
S2 0.3931 0.7500 0.1329 1

# 12
# GGA-PBE HfTlAgSeS2, relaxed
# M_tot = 0.01 μB per cell
# E_tot = -5.377 eV per atom
data_HfTlAgSeS2
_cell_length_a 8.1127
_cell_length_b 3.8143
_cell_length_c 10.0192
_cell_angle_alpha 90.00
_cell_angle_beta 109.78
_cell_angle_gamma 90.00
_symmetry_space_group_name_H-M 'P 1 21/m 1'
_symmetry_Int_Tables_number 11
_symmetry_space_group_name_Hall '-P 2yb'
loop_
_atom_site_label
_atom_site_fract_x
_atom_site_fract_y
_atom_site_fract_z
_atom_site_occupancy
Hf1 0.1863 0.2500 0.1482 1
Tl1 0.2327 0.7500 0.7046 1
Ag1 0.4414 0.7500 0.3882 1
Se1 0.2169 0.2500 0.4235 1
S1 0.0446 0.2500 0.8759 1
S2 0.3881 0.7500 0.1279 1

# 13
# GGA-PBE HfTlAgSeS2, relaxed
# M_tot = 0.00 μB per cell
# E_tot = -5.360 eV per atom
data_HfTlAgSeS2
_cell_length_a 8.0955
_cell_length_b 3.8527
_cell_length_c 9.9730
_cell_angle_alpha 90.00
_cell_angle_beta 110.37
_cell_angle_gamma 90.00
_symmetry_space_group_name_H-M 'P 1 21/m 1'
_symmetry_Int_Tables_number 11
_symmetry_space_group_name_Hall '-P 2yb'
loop_
_atom_site_label
_atom_site_fract_x
_atom_site_fract_y
_atom_site_fract_z
_atom_site_occupancy
Hf1 0.1839 0.2500 0.1557 1
Tl1 0.2316 0.7500 0.6990 1
Ag1 0.4370 0.7500 0.3900 1
Se1 0.4053 0.7500 0.1224 1
S1 0.0411 0.2500 0.8749 1
S2 0.2311 0.2500 0.4183 1

# 14
# GGA-PBE HfTlAgSeS2, relaxed
# M_tot = 0.02 μB per cell
# E_tot = -5.322 eV per atom
data_HfTlAgSeS2
_cell_length_a 3.7917
_cell_length_b 14.6102
_cell_length_c 10.4874
_cell_angle_alpha 90.00
_cell_angle_beta 90.00
_cell_angle_gamma 90.00
_symmetry_space_group_name_H-M 'C m c m'
_symmetry_Int_Tables_number 63
_symmetry_space_group_name_Hall '-C 2c 2'
loop_
_atom_site_label
_atom_site_fract_x
_atom_site_fract_y
_atom_site_fract_z
_atom_site_occupancy
Hf1 0.0000 0.0000 0.0000 1
Tl1 0.0000 0.2614 0.2500 1
Ag1 0.0000 0.4299 0.7500 1
Se1 0.0000 0.0630 0.7500 1
S1 0.0000 0.3809 0.5252 1

# 15
# GGA-PBE HfTlAgSe2S, relaxed
# M_tot = 0.02 μB per cell
# E_tot = -5.176 eV per atom
data_HfTlAgSe2S
_cell_length_a 3.9146
_cell_length_b 14.6444
_cell_length_c 10.2449
_cell_angle_alpha 90.00
_cell_angle_beta 90.00
_cell_angle_gamma 90.00
_symmetry_space_group_name_H-M 'C m c m'
_symmetry_Int_Tables_number 63
_symmetry_space_group_name_Hall '-C 2c 2'
loop_
_atom_site_label
_atom_site_fract_x
_atom_site_fract_y
_atom_site_fract_z
_atom_site_occupancy
Hf1 0.0000 0.0000 0.0000 1
Tl1 0.0000 0.2580 0.2500 1
Ag1 0.0000 0.4476 0.7500 1
Se1 0.0000 0.3713 0.5244 1
S1 0.0000 0.0576 0.7500 1

# 16
# GGA-PBE HfTlAgSe2S, relaxed
# M_tot = 0.01 μB per cell
# E_tot = -5.243 eV per atom
data_HfTlAgSe2S
_cell_length_a 8.2003
_cell_length_b 3.8750
_cell_length_c 10.0768
_cell_angle_alpha 90.00
_cell_angle_beta 110.40
_cell_angle_gamma 90.00
_symmetry_space_group_name_H-M 'P 1 21/m 1'
_symmetry_Int_Tables_number 11
_symmetry_space_group_name_Hall '-P 2yb'
loop_
_atom_site_label
_atom_site_fract_x
_atom_site_fract_y
_atom_site_fract_z
_atom_site_occupancy
Hf1 0.1812 0.2500 0.1501 1
Tl1 0.2347 0.7500 0.7024 1
Ag1 0.4358 0.7500 0.3893 1
Se1 0.2195 0.2500 0.4245 1
Se2 0.4011 0.7500 0.1234 1
S1 0.0394 0.2500 0.8763 1

# 17
# GGA-PBE HfTaAg2S6, relaxed
# M_tot = 0.01 μB per cell
# E_tot = -5.594 eV per atom
data_HfTaAg2S6
_cell_length_a 9.7412
_cell_length_b 9.7412
_cell_length_c 9.7412
_cell_angle_alpha 90.00
_cell_angle_beta 90.00
_cell_angle_gamma 90.00
_symmetry_space_group_name_H-M 'F m -3 m'
_symmetry_Int_Tables_number 225
_symmetry_space_group_name_Hall '-F 4 2 3'
loop_
_atom_site_label
_atom_site_fract_x
_atom_site_fract_y
_atom_site_fract_z
_atom_site_occupancy
Hf1 0.0000 0.0000 0.0000 1
Ta1 0.0000 0.0000 0.5000 1
Ag1 0.2500 0.2500 0.2500 1
S1 0.0000 0.0000 0.2536 1

# 18
# GGA-PBE HfTlAgS3, relaxed
# M_tot = 0.01 μB per cell
# E_tot = -5.435 eV per atom
data_HfTlAgS3
_cell_length_a 16.5865
_cell_length_b 3.7003
_cell_length_c 9.1659
_cell_angle_alpha 90.00
_cell_angle_beta 99.36
_cell_angle_gamma 90.00
_symmetry_space_group_name_H-M 'C 1 2/m 1'
_symmetry_Int_Tables_number 12
_symmetry_space_group_name_Hall '-C 2y'
loop_
_atom_site_label
_atom_site_fract_x
_atom_site_fract_y
_atom_site_fract_z
_atom_site_occupancy
Hf1 0.1614 0.0000 0.0725 1
Tl1 0.1368 0.0000 0.5565 1
Ag1 0.0162 0.5000 0.2273 1
S1 0.0000 0.0000 0.0000 1
S2 0.0000 0.5000 0.5000 1
S3 0.1732 0.5000 0.2593 1
S4 0.1780 0.5000 0.8819 1

# 19
# GGA-PBE HfTlAgS3, relaxed
# M_tot = 0.02 μB per cell
# E_tot = -5.466 eV per atom
data_HfTlAgS3
_cell_length_a 3.7680
_cell_length_b 14.3422
_cell_length_c 10.2228
_cell_angle_alpha 90.00
_cell_angle_beta 90.00
_cell_angle_gamma 90.00
_symmetry_space_group_name_H-M 'C m c m'
_symmetry_Int_Tables_number 63
_symmetry_space_group_name_Hall '-C 2c 2'
loop_
_atom_site_label
_atom_site_fract_x
_atom_site_fract_y
_atom_site_fract_z
_atom_site_occupancy
Hf1 0.0000 0.0000 0.0000 1
Tl1 0.0000 0.2736 0.2500 1
Ag1 0.0000 0.4245 0.7500 1
S1 0.0000 0.0514 0.7500 1
S2 0.0000 0.3775 0.5198 1

# 20
# GGA-PBE HfTlAgS3, relaxed
# M_tot = 0.04 μB per cell
# E_tot = -5.417 eV per atom
data_HfTlAgS3
_cell_length_a 11.9820
_cell_length_b 3.7501
_cell_length_c 12.2473
_cell_angle_alpha 90.00
_cell_angle_beta 90.00
_cell_angle_gamma 90.00
_symmetry_space_group_name_H-M 'P n m a'
_symmetry_Int_Tables_number 62
_symmetry_space_group_name_Hall '-P 2ac 2n'
loop_
_atom_site_label
_atom_site_fract_x
_atom_site_fract_y
_atom_site_fract_z
_atom_site_occupancy
Hf1 0.0405 0.2500 0.1540 1
Tl1 0.1501 0.2500 0.5113 1
Ag1 0.2441 0.7500 0.3163 1
S1 0.0252 0.7500 0.2970 1
S2 0.0836 0.2500 0.9361 1
S3 0.2421 0.2500 0.1621 1